Material: Dy2ScAl3
Method: DFT, PBE-GGA
State: optimized geometry

Summary:
The total magnetic moment comes out at 0.00 μB per cell. The value obtained for the distance to the lowest polymorph of the same formula is 254 meV/atom. Its final energy is -4.618 eV per atom. The formation energy is -0.16 eV per atom. The density of states at the Fermi level is 22.49 states/eV/cell.

Lattice parameters (Å, degrees): 11.6289 9.6645 5.1219 90.00 90.00 90.00
With the nearest neighbours (Å) after each atom.
Space group Cmcm (No. 63)
Symmetry-distinct sites (fractional):
Dy (0.1393, 0.2153, 0.2500) x8  7 Al 3.03-3.30, 1 Dy 3.24
Sc (0.0000, 0.3934, 0.7500) x4  5 Al 2.91-3.02
Al (0.0000, 0.0807, 0.7500) x4  2 Al 3.00, 1 Sc 3.02, 6 Dy 3.29-3.30
Al (0.2060, 0.5000, 0.0000) x8  2 Al 2.56

***

Material: CaCe2In3
Method: DFT, PBE-GGA
State: optimized geometry

Summary:
The total magnetic moment comes out at 2.01 μB per cell. Its final energy is -4.067 eV per atom. The formation energy is -0.39 eV per atom. The density of states at the Fermi level is 12.10 states/eV/cell.

Lattice parameters (Å, degrees): 3.4236 3.4236 14.0939 90.00 90.00 90.00
With the nearest neighbours (Å) after each atom.
Space group P4/mmm (No. 123)
Symmetry-distinct sites (fractional):
Ca (0.0000, 0.0000, 0.0000) x1  8 In 3.37, 4 Ca 3.42
Ce (0.0000, 0.0000, 0.3328) x2  8 In 3.38, 4 Ce 3.42
In (0.5000, 0.5000, 0.1660) x2  4 Ca 3.37, 4 Ce 3.38, 4 In 3.42
In (0.5000, 0.5000, 0.5000) x1  8 Ce 3.38, 4 In 3.42

***

Material: TbNd3Sc3
Method: DFT, PBE-GGA
State: optimized geometry

Summary:
The total magnetic moment comes out at 0.01 μB per cell. The value obtained for the distance to the lowest polymorph of the same formula is 0 meV/atom. Its final energy is -5.364 eV per atom. The formation energy is 0.05 eV per atom. The density of states at the Fermi level is 26.25 states/eV/cell.

Lattice parameters (Å, degrees): 9.3557 9.3557 5.5738 90.00 90.00 120.00
With the nearest neighbours (Å) after each atom.
Space group P6_3/m (No. 176)
Symmetry-distinct sites (fractional):
Tb (0.3333, 0.6667, 0.2500) x2  9 Sc 3.43-3.54, 3 Nd 3.45
Nd (0.0502, 0.8003, 0.2500) x6  5 Sc 3.38-3.61, 1 Tb 3.45, 6 Nd 3.52-3.71
Sc (0.0971, 0.6113, 0.7500) x6  5 Nd 3.38-3.61, 4 Sc 3.41-3.47, 3 Tb 3.43-3.54

***

Material: PH3Rh
Method: DFT, PBE-GGA
State: optimized geometry

Summary:
The total magnetic moment comes out at 0.00 μB per cell. The value obtained for the distance to the lowest polymorph of the same formula is 0 meV/atom. Its final energy is -4.046 eV per atom. The density of states at the Fermi level is 2.22 states/eV/cell.

Lattice parameters (Å, degrees): 3.4868 3.4868 3.4868 90.00 90.00 90.00
With the nearest neighbours (Å) after each atom.
Space group Pm-3m (No. 221)
Symmetry-distinct sites (fractional):
P (0.0000, 0.0000, 0.0000) x1  12 H 2.47
H (0.0000, 0.5000, 0.5000) x3  2 Rh 1.74
Rh (0.5000, 0.5000, 0.5000) x1  6 H 1.74

***

Material: Na3Y2US6
Method: DFT, PBE-GGA
State: optimized geometry

Summary:
The total magnetic moment comes out at 6.02 μB per cell. Its final energy is -6.068 eV per atom. The value obtained for the formation energy without anion corrections is -1.657 eV/atom. The density of states at the Fermi level is 17.47 states/eV/cell.

Lattice parameters (Å, degrees): 6.9261 11.9821 7.0837 90.00 109.00 90.00
With the nearest neighbours (Å) after each atom.
Space group C2/m (No. 12)
Symmetry-distinct sites (fractional):
Na (0.0000, 0.0000, 0.0000) x2  6 S 2.94
Na (0.0000, 0.3322, 0.0000) x4  6 S 2.93-2.95
Y (0.0000, 0.1666, 0.5000) x4  6 S 2.77
U (0.0000, 0.5000, 0.5000) x2  6 S 2.77
S (0.2426, 0.0000, 0.7285) x4  2 Y 2.77, 1 U 2.77, 3 Na 2.94-2.95
S (0.2432, 0.3331, 0.7286) x8  2 Y 2.77, 1 U 2.77, 3 Na 2.93-2.94

***

Material: ZrIrW2
Method: DFT, PBE-GGA
State: optimized geometry

Summary:
The total magnetic moment comes out at 0.00 μB per cell. The value obtained for the distance to the lowest polymorph of the same formula is 0 meV/atom. Its final energy is -10.957 eV per atom. The formation energy is -0.13 eV per atom. The density of states at the Fermi level is 2.83 states/eV/cell.

Lattice parameters (Å, degrees): 3.2626 3.2626 6.4276 90.00 90.00 90.00
With the nearest neighbours (Å) after each atom.
Space group P4mm (No. 99)
Symmetry-distinct sites (fractional):
Zr (0.0000, 0.0000, 0.0000) x1  4 Ir 2.82, 4 W 2.90
Ir (0.5000, 0.5000, 0.2510) x1  4 Zr 2.82, 5 W 2.82-3.06
W (0.0000, 0.0000, 0.5032) x1  4 W 2.72, 4 Ir 2.82
W (0.5000, 0.5000, 0.7266) x1  4 W 2.72, 4 Zr 2.90

***

Material: CaDyAlCd
Method: DFT, PBE-GGA
State: optimized geometry

Summary:
The total magnetic moment comes out at 0.00 μB per cell. The value obtained for the distance to the lowest polymorph of the same formula is 0 meV/atom. Its final energy is -3.140 eV per atom. The formation energy is -0.32 eV per atom. The density of states at the Fermi level is 1.95 states/eV/cell.

Lattice parameters (Å, degrees): 3.6368 3.6368 7.7775 90.00 90.00 90.00
With the nearest neighbours (Å) after each atom.
Space group P4mm (No. 99)
Symmetry-distinct sites (fractional):
Ca (0.0000, 0.0000, 0.0000) x1  4 Al 3.23, 4 Cd 3.29
Dy (0.0000, 0.0000, 0.4802) x1  4 Al 3.13, 4 Cd 3.25
Al (0.5000, 0.5000, 0.2514) x1  4 Dy 3.13, 4 Ca 3.23
Cd (0.5000, 0.5000, 0.7356) x1  4 Dy 3.25, 4 Ca 3.29, 4 Cd 3.64

***

Material: LiNi6Ir
Method: DFT, PBE-GGA
State: optimized geometry

Summary:
The total magnetic moment comes out at 31.03 μB per cell. The value obtained for the distance to the lowest polymorph of the same formula is 19 meV/atom. Its final energy is -5.681 eV per atom. The formation energy is 0.00 eV per atom. The density of states at the Fermi level is 86.97 states/eV/cell.

Lattice parameters (Å, degrees): 7.1243 10.1471 10.1520 90.00 90.00 90.00
With the nearest neighbours (Å) after each atom.
Space group Cmmm (No. 65)
Symmetry-distinct sites (fractional):
Li (0.0000, 0.0000, 0.2476) x4  12 Ni 2.51-2.56
Li (0.0000, 0.2545, 0.0000) x4  12 Ni 2.49-2.58
Ni (0.0000, 0.0000, 0.0000) x2  8 Ni 2.50, 4 Li 2.51-2.58
Ni (0.0000, 0.0000, 0.5000) x2  2 Ir 2.49, 8 Ni 2.54, 2 Li 2.56
Ni (0.0000, 0.2501, 0.2480) x8  8 Ni 2.51-2.54, 2 Li 2.52-2.54, 2 Ir 2.54-2.56
Ni (0.0000, 0.5000, 0.0000) x2  2 Ir 2.47, 2 Li 2.49, 8 Ni 2.54
Ni (0.0000, 0.5000, 0.5000) x2  8 Ni 2.54, 4 Ir 2.58-2.61
Ni (0.2463, 0.1252, 0.1230) x16  8 Ni 2.50-2.54, 3 Li 2.51-2.52, 1 Ir 2.52
Ni (0.2504, 0.1247, 0.3724) x16  3 Ir 2.52-2.56, 8 Ni 2.52-2.59, 1 Li 2.53
Ir (0.0000, 0.2457, 0.5000) x4  12 Ni 2.49-2.58
Ir (0.0000, 0.5000, 0.2432) x4  12 Ni 2.47-2.61

***

Material: MgInNiAs2
Method: DFT, PBE-GGA
State: optimized geometry

Summary:
The total magnetic moment comes out at 0.89 μB per cell. Its final energy is -2.689 eV per atom. The formation energy is 1.19 eV per atom. The density of states at the Fermi level is 5.37 states/eV/cell.

Lattice parameters (Å, degrees): 5.2202 5.2202 5.1691 90.00 90.00 90.00
With the nearest neighbours (Å) after each atom.
Space group P4/mmm (No. 123)
Symmetry-distinct sites (fractional):
Mg (0.0000, 0.0000, 0.0000) x1  2 In 2.58
In (0.0000, 0.0000, 0.5000) x1  2 Mg 2.58, 4 As 2.61
Ni (0.5000, 0.5000, 0.0000) x1  8 As 3.67, 4 Mg 3.69
As (0.0000, 0.5000, 0.5000) x2  2 In 2.61

***

Material: Cs2Tl6SnPb
Method: DFT, PBE-GGA
State: optimized geometry

Summary:
The total magnetic moment comes out at 0.00 μB per cell. Its final energy is -2.357 eV per atom. The formation energy is 0.00 eV per atom. The density of states at the Fermi level is 23.23 states/eV/cell.

Lattice parameters (Å, degrees): 8.1638 8.1638 43.5261 90.00 90.00 120.00
With the nearest neighbours (Å) after each atom.
Space group R-3m (No. 166, hexagonal axes)
Symmetry-distinct sites (fractional):
Cs (0.0000, 0.0000, 0.1039) x6  12 Tl 4.27-4.72, 1 Pb 4.52, 3 Sn 4.75
Cs (0.0000, 0.0000, 0.2800) x6  12 Tl 3.94-4.26
Tl (0.0503, 0.5251, 0.8686) x18  1 Pb 3.12, 1 Sn 3.24, 2 Tl 3.47
Tl (0.0703, 0.5352, 0.3056) x18  1 Pb 3.10, 2 Tl 3.22, 1 Sn 3.30
Sn (0.0000, 0.0000, 0.4238) x6  6 Tl 3.24-3.30, 1 Pb 3.32
Pb (0.0000, 0.0000, 0.0000) x3  6 Tl 3.10
Pb (0.0000, 0.0000, 0.5000) x3  6 Tl 3.12, 2 Sn 3.32

***

Material: MgCu2Cl
Method: DFT, PBE-GGA
State: optimized geometry

Summary:
The total magnetic moment comes out at 0.00 μB per cell. The value obtained for the distance to the lowest polymorph of the same formula is 278 meV/atom. Its final energy is -2.896 eV per atom. The value obtained for the formation energy without anion corrections is 0.013 eV/atom. The density of states at the Fermi level is 2.17 states/eV/cell.

Lattice parameters (Å, degrees): 3.1344 3.1344 23.5431 90.00 90.00 120.00
With the nearest neighbours (Å) after each atom.
Space group R-3m (No. 166, hexagonal axes)
Symmetry-distinct sites (fractional):
Mg (0.0000, 0.0000, 0.0000) x3  6 Cu 2.75
Cu (0.0000, 0.0000, 0.2454) x6  3 Cl 2.59, 3 Mg 2.75
Cl (0.0000, 0.0000, 0.5000) x3  6 Cu 2.59

***

Material: Th3Ge5Se12
Method: DFT, PBE-GGA
State: optimized geometry

Summary:
The total magnetic moment comes out at 0.00 μB per cell. Its final energy is -5.181 eV per atom. The value obtained for the formation energy without anion corrections is -0.823 eV/atom. The density of states at the Fermi level is 63.15 states/eV/cell.

Lattice parameters (Å, degrees): 16.4136 16.4136 16.4136 90.00 90.00 90.00
With the nearest neighbours (Å) after each atom.
Space group Ia-3d (No. 230)
Symmetry-distinct sites (fractional):
Th (0.0000, 0.2500, 0.1250) x24  8 Se 3.06-3.11
Ge (0.0000, 0.0000, 0.0000) x16  6 Se 2.74
Ge (0.0000, 0.2500, 0.3750) x24  4 Se 2.56
Se (0.0210, 0.0637, 0.6532) x96  2 Ge 2.56-2.74

***

Material: K3In9Sn2
Method: DFT, PBE-GGA
State: optimized geometry

Summary:
The total magnetic moment comes out at 0.00 μB per cell. Its final energy is -2.677 eV per atom. The formation energy is -0.11 eV per atom. The density of states at the Fermi level is 9.95 states/eV/cell.

Lattice parameters (Å, degrees): 5.0585 11.5600 14.6291 90.00 90.00 90.00
With the nearest neighbours (Å) after each atom.
Space group Immm (No. 71)
Symmetry-distinct sites (fractional):
K (0.0000, 0.0000, 0.0000) x2  12 In 3.71-3.88
K (0.0000, 0.0000, 0.3049) x4  2 Sn 3.64, 12 In 3.65-3.93
In (0.0000, 0.2773, 0.1498) x8  4 In 3.05-3.38, 2 Sn 3.36
In (0.0000, 0.3721, 0.3444) x8  4 In 2.96-3.06, 1 Sn 3.06
In (0.0000, 0.5000, 0.0000) x2  4 In 3.38, 4 Sn 3.39
Sn (0.0000, 0.1958, 0.5000) x4  8 In 3.06-3.39

***

Material: La2BiSb3Pt4
Method: DFT, PBE-GGA
State: optimized geometry

Summary:
The total magnetic moment comes out at 0.00 μB per cell. Its final energy is -5.869 eV per atom. The value obtained for the formation energy without anion corrections is -0.842 eV/atom. The density of states at the Fermi level is 3.71 states/eV/cell.

Lattice parameters (Å, degrees): 4.7451 4.7451 10.6320 90.00 90.00 90.00
With the nearest neighbours (Å) after each atom.
Space group P-4m2 (No. 115)
Symmetry-distinct sites (fractional):
La (0.0000, 0.5000, 0.2293) x2  8 Pt 3.40-3.66, 7 Sb 3.54-3.75, 2 Bi 3.73
Bi (0.0000, 0.0000, 0.5000) x1  4 Pt 2.76
Sb (0.0000, 0.5000, 0.8764) x2  5 Pt 2.59-2.71
Sb (0.5000, 0.5000, 0.5000) x1  4 Pt 2.76
Pt (0.0000, 0.0000, 0.0000) x1  4 Sb 2.71
Pt (0.0000, 0.5000, 0.6326) x2  3 Sb 2.59-2.76, 2 Bi 2.76
Pt (0.5000, 0.5000, 0.0000) x1  4 Sb 2.71

***

Material: SmEr4Se6
Method: DFT, PBE-GGA
State: optimized geometry

Summary:
The total magnetic moment comes out at 0.00 μB per cell. Its final energy is -5.793 eV per atom. The value obtained for the formation energy without anion corrections is -1.804 eV/atom. The density of states at the Fermi level is 11.61 states/eV/cell.

Lattice parameters (Å, degrees): 3.9890 13.2830 20.6465 90.00 90.00 90.00
With the nearest neighbours (Å) after each atom.
Space group Cmcm (No. 63)
Symmetry-distinct sites (fractional):
Sm (0.0000, 0.1530, 0.2500) x4  6 Se 2.94-2.99
Er (0.0000, 0.0903, 0.6260) x8  6 Se 2.84-2.87
Er (0.0000, 0.3597, 0.5378) x8  6 Se 2.83-2.91
Se (0.0000, 0.0000, 0.0000) x4  6 Er 2.84-2.87
Se (0.0000, 0.1846, 0.7500) x4  2 Er 2.85, 2 Sm 2.94
Se (0.0000, 0.2680, 0.0902) x8  5 Er 2.83-2.91
Se (0.0000, 0.4498, 0.6645) x8  3 Er 2.84-2.88, 2 Sm 2.99

***

Material: TmScMn
Method: DFT, PBE-GGA
State: optimized geometry

Summary:
The total magnetic moment comes out at 11.23 μB per cell. The value obtained for the distance to the lowest polymorph of the same formula is 8 meV/atom. Its final energy is -6.549 eV per atom. The formation energy is 0.11 eV per atom. The density of states at the Fermi level is 29.42 states/eV/cell.

Lattice parameters (Å, degrees): 6.1645 11.6602 7.4390 90.00 90.00 90.00
With the nearest neighbours (Å) after each atom.
Space group Cmce (No. 64)
Symmetry-distinct sites (fractional):
Tm (0.0000, 0.1909, 0.1045) x8  2 Mn 2.76-2.79
Sc (0.2500, 0.0523, 0.7500) x8  4 Mn 2.73-2.77
Mn (0.0000, 0.0946, 0.4476) x8  1 Mn 2.34

***

Material: Pr11Er9Tm4
Method: DFT, PBE-GGA
State: optimized geometry

Summary:
The total magnetic moment comes out at 0.00 μB per cell. Its final energy is -4.591 eV per atom. The formation energy is 0.06 eV per atom. The density of states at the Fermi level is 58.37 states/eV/cell.

Lattice parameters (Å, degrees): 16.9973 25.7601 3.6576 90.00 90.00 90.00
With the nearest neighbours (Å) after each atom.
Space group Cmmm (No. 65)
Symmetry-distinct sites (fractional):
Pr (0.0000, 0.0000, 0.0000) x2  8 Er 3.56, 2 Pr 3.66
Pr (0.0000, 0.1601, 0.0000) x4  4 Pr 3.66-3.84, 8 Er 3.75-3.78
Pr (0.0000, 0.3687, 0.0000) x4  4 Tm 3.32, 4 Er 3.61, 2 Pr 3.66
Pr (0.2064, 0.5000, 0.0000) x4  4 Tm 3.31, 2 Pr 3.66, 4 Er 3.67
Pr (0.2238, 0.1811, 0.0000) x8  2 Tm 3.40, 6 Er 3.56-3.72, 3 Pr 3.66
Er (0.0000, 0.5000, 0.5000) x2  2 Er 3.66, 4 Tm 3.75, 8 Pr 3.85-3.96
Er (0.1017, 0.2681, 0.5000) x8  3 Er 3.46-3.66, 1 Tm 3.48, 8 Pr 3.56-3.75
Er (0.1420, 0.0723, 0.5000) x8  1 Tm 3.50, 8 Pr 3.56-3.78, 3 Er 3.66-3.72
Tm (0.1572, 0.3980, 0.5000) x8  6 Pr 3.31-3.40, 2 Er 3.48-3.50, 2 Tm 3.66